Entry 1:
# TcNiSbPb2, optimized geometry, DFT PBE
data_TcNiSbPb2
_chemical_formula_sum 'Tc1 Ni1 Sb1 Pb2'
_space_group_name_H-M_alt 'P 4/m m m'
_space_group_IT_number 123
_space_group_name_Hall '-P 4 2'
_cell_length_a 5.0270
_cell_length_b 5.0270
_cell_length_c 4.9611
_cell_angle_alpha 90.00
_cell_angle_beta 90.00
_cell_angle_gamma 90.00
loop_
_atom_site_label
_atom_site_fract_x
_atom_site_fract_y
_atom_site_fract_z
_atom_site_occupancy
Tc1 0.0000 0.0000 0.0000 1
Ni1 0.0000 0.0000 0.5000 1
Sb1 0.5000 0.5000 0.0000 1
Pb1 0.0000 0.5000 0.5000 1
# Theoretical density (g/cm³): 9.18
# V (Å³/f.u.): 125.4
# Raw formation energy (kJ/mol of formula units): 345
# Total magnetic moment (μB per atom): 0.710
# Density of states at the Fermi level (states/eV per cell): 3.67

Entry 2:
# NiSb2TePb, optimized geometry, DFT PBE
data_NiSb2TePb
_chemical_formula_sum 'Ni1 Sb2 Te1 Pb1'
_space_group_name_H-M_alt 'P 4/m m m'
_space_group_IT_number 123
_space_group_name_Hall '-P 4 2'
_cell_length_a 5.7826
_cell_length_b 5.7826
_cell_length_c 5.7901
_cell_angle_alpha 90.00
_cell_angle_beta 90.00
_cell_angle_gamma 90.00
loop_
_atom_site_label
_atom_site_fract_x
_atom_site_fract_y
_atom_site_fract_z
_atom_site_occupancy
Ni1 0.0000 0.0000 0.0000 1
Sb1 0.0000 0.5000 0.5000 1
Te1 0.5000 0.5000 0.0000 1
Pb1 0.5000 0.5000 0.5000 1
# Theoretical density (g/cm³): 5.46
# V (Å³/f.u.): 193.6
# Raw formation energy (kJ/mol of formula units): 674
# Total magnetic moment (μB per atom): 0.152
# Offset from the most stable computed form (eV/atom): 1.2189
# Density of states at the Fermi level (states/eV per cell): 11.82

Entry 3:
# NiSb2TePb, optimized geometry, DFT PBE
data_NiSb2TePb
_chemical_formula_sum 'Ni1 Sb2 Te1 Pb1'
_space_group_name_H-M_alt 'P 4/m m m'
_space_group_IT_number 123
_space_group_name_Hall '-P 4 2'
_cell_length_a 4.9057
_cell_length_b 4.9057
_cell_length_c 5.4054
_cell_angle_alpha 90.00
_cell_angle_beta 90.00
_cell_angle_gamma 90.00
loop_
_atom_site_label
_atom_site_fract_x
_atom_site_fract_y
_atom_site_fract_z
_atom_site_occupancy
Ni1 0.0000 0.0000 0.0000 1
Sb1 0.0000 0.5000 0.0000 1
Te1 0.0000 0.0000 0.5000 1
Pb1 0.5000 0.5000 0.5000 1
# Theoretical density (g/cm³): 8.13
# V (Å³/f.u.): 130.1
# Raw formation energy (kJ/mol of formula units): 86
# Total magnetic moment (μB per atom): 0.000
# Offset from the most stable computed form (eV/atom): 0.0000
# Density of states at the Fermi level (states/eV per cell): 3.14

Entry 4:
# NiSb2TePb, optimized geometry, DFT PBE
data_NiSb2TePb
_chemical_formula_sum 'Ni1 Sb2 Te1 Pb1'
_space_group_name_H-M_alt 'P 4/m m m'
_space_group_IT_number 123
_space_group_name_Hall '-P 4 2'
_cell_length_a 5.6987
_cell_length_b 5.6987
_cell_length_c 5.9157
_cell_angle_alpha 90.00
_cell_angle_beta 90.00
_cell_angle_gamma 90.00
loop_
_atom_site_label
_atom_site_fract_x
_atom_site_fract_y
_atom_site_fract_z
_atom_site_occupancy
Ni1 0.0000 0.0000 0.0000 1
Sb1 0.0000 0.5000 0.5000 1
Te1 0.5000 0.5000 0.5000 1
Pb1 0.5000 0.5000 0.0000 1
# Theoretical density (g/cm³): 5.51
# V (Å³/f.u.): 192.1
# Raw formation energy (kJ/mol of formula units): 616
# Total magnetic moment (μB per atom): 0.002
# Offset from the most stable computed form (eV/atom): 1.0971
# Density of states at the Fermi level (states/eV per cell): 3.41

Repeat the first record exactly.
# TcNiSbPb2, optimized geometry, DFT PBE
data_TcNiSbPb2
_chemical_formula_sum 'Tc1 Ni1 Sb1 Pb2'
_space_group_name_H-M_alt 'P 4/m m m'
_space_group_IT_number 123
_space_group_name_Hall '-P 4 2'
_cell_length_a 5.0270
_cell_length_b 5.0270
_cell_length_c 4.9611
_cell_angle_alpha 90.00
_cell_angle_beta 90.00
_cell_angle_gamma 90.00
loop_
_atom_site_label
_atom_site_fract_x
_atom_site_fract_y
_atom_site_fract_z
_atom_site_occupancy
Tc1 0.0000 0.0000 0.0000 1
Ni1 0.0000 0.0000 0.5000 1
Sb1 0.5000 0.5000 0.0000 1
Pb1 0.0000 0.5000 0.5000 1
# Theoretical density (g/cm³): 9.18
# V (Å³/f.u.): 125.4
# Raw formation energy (kJ/mol of formula units): 345
# Total magnetic moment (μB per atom): 0.710
# Density of states at the Fermi level (states/eV per cell): 3.67